{"formula": "AlTc", "functional": "PBE-GGA", "state": "relaxed", "sg": "P2/m", "relative_energy_mev_per_atom": 110, "dft_energy_ev_per_atom": -7.357, "volume_a3_per_atom": 14.37, "lattice": [[-1.573, -2.271, -3.349], [2.375, -1.907, 0.178], [-2.162, -2.422, 2.885]], "species": ["Al", "Al", "Tc", "Tc"], "frac_coords": [[0.716, 0.000, 0.785], [0.284, 0.000, 0.215], [0.211, 0.500, 0.710], [0.789, 0.500, 0.290]]}